Entry from Alexandria via LeMat-Bulk: an optimized crystal structure of CrCoCu2 (GGA-PBEsol).

```
4
Lattice="-1.702 1.702 3.849 1.702 -1.702 3.849 1.702 1.702 -3.849" Properties=species:S:1:pos:R:3 pbc="T T T"
Cr 0.000 0.000 0.000
Co 0.000 0.000 3.849
Cu 1.702 0.000 1.925
Cu 0.000 1.702 1.925
```

Calculated values
Energy relative to the elements = 0.2714 eV/atom
Space group = I4/mmm
E_tot = -25.562 eV per cell